Entry 1:
# Na2WCl2

Na2WCl2 after structural relaxation (PBE, Alexandria via LeMat-Bulk).

a b c (Å): 5.3029 5.3029 11.2604
angles (deg): 90.00 90.00 90.00
Positions (direct):
Na: 0.0000 0.0000 0.1945
Na: 0.0000 0.0000 0.8055
Na: 0.5000 0.5000 0.3055
Na: 0.5000 0.5000 0.6945
W: 0.0000 0.0000 0.5000
W: 0.5000 0.5000 0.0000
Cl: 0.0000 0.5000 0.2500
Cl: 0.0000 0.5000 0.7500
Cl: 0.5000 0.0000 0.2500
Cl: 0.5000 0.0000 0.7500

Summary:
The calculation puts the calculated volume at 317 Å³ per cell. The total energy is -3.566 eV/atom. The calculation puts the energy above the most stable polymorph in this dataset at 0.1248 eV per atom.


Entry 2:
# BeMoP2Pt

BeMoP2Pt after structural relaxation (PBE, Alexandria via LeMat-Bulk).

a b c (Å): 4.7017 4.7017 4.0568
angles (deg): 90.00 90.00 90.00
Positions (direct):
Be: 0.0000 0.0000 0.0000
Mo: 0.5000 0.5000 0.0000
P: 0.0000 0.5000 0.5000
P: 0.5000 0.0000 0.5000
Pt: 0.0000 0.0000 0.5000

Summary:
The calculation puts the calculated volume at 90 Å³ per cell. The total energy is -5.385 eV/atom. Its formation energy is 0.898 eV/atom.


Entry 3:
# Sc6Tl2Zn

Sc6Tl2Zn after structural relaxation (PBE, Alexandria via LeMat-Bulk).

a b c (Å): 8.3062 8.3062 8.3062
angles (deg): 146.48 131.74 60.04
Positions (direct):
Sc: 0.0813 0.3404 0.7409
Sc: 0.2326 0.0000 0.2326
Sc: 0.4005 0.6596 0.7409
Sc: 0.5995 0.3404 0.2591
Sc: 0.7674 0.0000 0.7674
Sc: 0.9187 0.6596 0.2591
Tl: 0.3334 0.8334 0.5000
Tl: 0.6666 0.1666 0.5000
Zn: 0.0000 0.5000 0.5000

Summary:
The calculation puts the calculated volume at 234 Å³ per cell. The total energy is -4.867 eV/atom. Its formation energy is 0.021 eV/atom.


Entry 4:
# Gd3Sb5S12

Gd3Sb5S12 after structural relaxation (PBE, Alexandria via LeMat-Bulk).

a b c (Å): 14.0331 14.0331 14.0331
angles (deg): 109.47 109.47 109.47
Positions (direct):
Gd: 0.1250 0.2500 0.3750
Gd: 0.1250 0.3750 0.7500
Gd: 0.2500 0.3750 0.1250
Gd: 0.2500 0.8750 0.6250
Gd: 0.3750 0.1250 0.2500
Gd: 0.3750 0.7500 0.1250
Gd: 0.6250 0.2500 0.8750
Gd: 0.6250 0.8750 0.7500
Gd: 0.7500 0.1250 0.3750
Gd: 0.7500 0.6250 0.8750
Gd: 0.8750 0.6250 0.2500
Gd: 0.8750 0.7500 0.6250
Sb: 0.0000 0.0000 0.0000
Sb: 0.0000 0.0000 0.5000
Sb: 0.0000 0.5000 0.0000
Sb: 0.0000 0.5000 0.5000
Sb: 0.1250 0.7500 0.8750
Sb: 0.1250 0.8750 0.2500
Sb: 0.2500 0.1250 0.8750
Sb: 0.2500 0.6250 0.3750
Sb: 0.3750 0.2500 0.6250
Sb: 0.3750 0.6250 0.7500
Sb: 0.5000 0.0000 0.0000
Sb: 0.5000 0.0000 0.5000
Sb: 0.5000 0.5000 0.0000
Sb: 0.5000 0.5000 0.5000
Sb: 0.6250 0.3750 0.2500
Sb: 0.6250 0.7500 0.3750
Sb: 0.7500 0.3750 0.6250
Sb: 0.7500 0.8750 0.1250
Sb: 0.8750 0.1250 0.7500
Sb: 0.8750 0.2500 0.1250
S: 0.0517 0.2213 0.1378
S: 0.0517 0.3304 0.9139
S: 0.0835 0.7213 0.6696
S: 0.0835 0.8622 0.4139
S: 0.0861 0.6378 0.4165
S: 0.0861 0.9483 0.6696
S: 0.1378 0.0517 0.2213
S: 0.1378 0.5861 0.9165
S: 0.1696 0.2213 0.5835
S: 0.1696 0.4483 0.5861
S: 0.2213 0.1378 0.0517
S: 0.2213 0.5835 0.1696
S: 0.2787 0.3304 0.9165
S: 0.2787 0.4483 0.3622
S: 0.3304 0.9139 0.0517
S: 0.3304 0.9165 0.2787
S: 0.3622 0.2787 0.4483
S: 0.3622 0.5835 0.9139
S: 0.4139 0.0835 0.8622
S: 0.4139 0.8304 0.5517
S: 0.4165 0.0861 0.6378
S: 0.4165 0.8304 0.7787
S: 0.4483 0.3622 0.2787
S: 0.4483 0.5861 0.1696
S: 0.5517 0.4139 0.8304
S: 0.5517 0.6378 0.7213
S: 0.5835 0.1696 0.2213
S: 0.5835 0.9139 0.3622
S: 0.5861 0.1696 0.4483
S: 0.5861 0.9165 0.1378
S: 0.6378 0.4165 0.0861
S: 0.6378 0.7213 0.5517
S: 0.6696 0.0835 0.7213
S: 0.6696 0.0861 0.9483
S: 0.7213 0.5517 0.6378
S: 0.7213 0.6696 0.0835
S: 0.7787 0.4165 0.8304
S: 0.7787 0.8622 0.9483
S: 0.8304 0.5517 0.4139
S: 0.8304 0.7787 0.4165
S: 0.8622 0.4139 0.0835
S: 0.8622 0.9483 0.7787
S: 0.9139 0.0517 0.3304
S: 0.9139 0.3622 0.5835
S: 0.9165 0.1378 0.5861
S: 0.9165 0.2787 0.3304
S: 0.9483 0.6696 0.0861
S: 0.9483 0.7787 0.8622

Summary:
The calculation puts the calculated volume at 2127 Å³ per cell. The total energy is -6.372 eV/atom.


Entry 5:
# TlSnPb2S4

TlSnPb2S4 after structural relaxation (PBE, Alexandria via LeMat-Bulk).

a b c (Å): 8.3838 8.3838 8.3838
angles (deg): 120.10 119.98 89.93
Positions (direct):
Tl: 0.5000 0.0000 0.0000
Tl: 0.5000 0.5000 0.5000
Sn: 0.0000 0.0000 0.0000
Sn: 0.5000 0.0000 0.5000
Pb: 0.0000 0.0000 0.5000
Pb: 0.0000 0.5000 0.0000
Pb: 0.0000 0.5000 0.5000
Pb: 0.5000 0.5000 0.0000
S: 0.2402 0.2467 0.9935
S: 0.2467 0.2402 0.4935
S: 0.2467 0.7532 0.0065
S: 0.2468 0.7533 0.4935
S: 0.7532 0.2467 0.5065
S: 0.7533 0.2468 0.9935
S: 0.7533 0.7598 0.5065
S: 0.7598 0.7533 0.0065

Summary:
The calculation puts the calculated volume at 416 Å³ per cell. The total energy is -4.189 eV/atom.


Entry 6:
# Ti2CoHRu

Ti2CoHRu after structural relaxation (PBE, Alexandria via LeMat-Bulk).

a b c (Å): 4.2001 4.2001 3.2713
angles (deg): 90.00 90.00 90.00
Positions (direct):
Ti: 0.0000 0.5000 0.0000
Ti: 0.5000 0.0000 0.0000
Co: 0.0000 0.0000 0.5000
H: 0.0000 0.0000 0.0000
Ru: 0.5000 0.5000 0.5000

Summary:
The calculation puts the calculated volume at 58 Å³ per cell. The total energy is -7.575 eV/atom. The calculation puts the energy above the most stable polymorph in this dataset at 0.0000 eV per atom.


Entry 7:
# TaCuPPb2

TaCuPPb2 after structural relaxation (PBE, Alexandria via LeMat-Bulk).

a b c (Å): 5.5718 5.5718 4.7181
angles (deg): 90.00 90.00 90.00
Positions (direct):
Ta: 0.0000 0.0000 0.0000
Cu: 0.5000 0.5000 0.5000
P: 0.0000 0.0000 0.5000
Pb: 0.0000 0.5000 0.0000
Pb: 0.5000 0.0000 0.0000

Summary:
The calculation puts the calculated volume at 146 Å³ per cell. The total energy is -5.049 eV/atom. Its formation energy is 0.706 eV/atom. The calculation puts the energy above the most stable polymorph in this dataset at 0.0000 eV per atom.


Entry 8:
# AlReSe2

AlReSe2 after structural relaxation (PBE, Alexandria via LeMat-Bulk).

a b c (Å): 3.0620 4.9198 9.2981
angles (deg): 90.00 90.00 90.00
Positions (direct):
Al: 0.0000 0.0000 0.0000
Al: 0.5000 0.5000 0.5000
Re: 0.0000 0.5000 0.2542
Re: 0.5000 0.0000 0.7542
Se: 0.0000 0.0000 0.5438
Se: 0.0000 0.5000 0.7454
Se: 0.5000 0.0000 0.2454
Se: 0.5000 0.5000 0.0438

Summary:
The calculation puts the calculated volume at 140 Å³ per cell. The total energy is -5.472 eV/atom.


Entry 9:
# KRb2Os

KRb2Os after structural relaxation (PBE, Alexandria via LeMat-Bulk).

a b c (Å): 10.0666 10.0666 14.6162
angles (deg): 90.00 90.00 90.00
Positions (direct):
K: 0.0000 0.0000 0.0000
K: 0.0000 0.5000 0.2500
K: 0.5000 0.0000 0.7500
K: 0.5000 0.5000 0.5000
Rb: 0.0008 0.2500 0.6250
Rb: 0.2500 0.5008 0.8750
Rb: 0.2500 0.9992 0.3750
Rb: 0.4992 0.2500 0.1250
Rb: 0.5008 0.7500 0.1250
Rb: 0.7500 0.0008 0.3750
Rb: 0.7500 0.4992 0.8750
Rb: 0.9992 0.7500 0.6250
Os: 0.0000 0.0000 0.5000
Os: 0.0000 0.5000 0.7500
Os: 0.5000 0.0000 0.2500
Os: 0.5000 0.5000 0.0000

Summary:
The calculation puts the calculated volume at 1481 Å³ per cell. The total energy is -1.962 eV/atom. Its formation energy is 1.604 eV/atom. The calculation puts the energy above the most stable polymorph in this dataset at 0.2209 eV per atom.


Question: The highest calculated volume belongs to which entry?
Answer: Gd3Sb5S12


Question: The highest calculated volume belongs to which entry?
Answer: Gd3Sb5S12


Question: What is the formula in the second record?
Answer: BeMoP2Pt


Question: Number 2 is which compound?
Answer: BeMoP2Pt